PPbAu2, optimized geometry, DFT PBE; E = -15.4 eV for the cell shown; V = 89.4 Å³ per cell; crystal system = trigonal; offset from the most stable computed form = 0.076 eV/atom; magnetic moment = 0.0 μB/f.u.; Fermi-level density of states = 1.6 states/eV/cell; DFT formation energy = 0.318 eV per formula unit
1.0
6.8093 -0.0238 -0.0146
5.6389 3.8171 -0.0146
5.6389 1.7183 3.4085
Au Pb P
2 1 1
Direct
0.2358 0.2358 0.2358
0.9895 0.9895 0.9895
0.7493 0.7493 0.7493
0.5253 0.5253 0.5253

***

Cs2K4AgHg2, optimized geometry, DFT PBE; E = -10.2 eV for the cell shown; V = 549.2 Å³ per cell; crystal system = triclinic; magnetic moment = 0.0 μB/f.u.; Fermi-level density of states = 5.4 states/eV/cell; DFT formation energy = -0.657 eV per formula unit
1.0
6.7559 1.8460 0.1614
1.2514 8.3424 1.2472
-3.8661 -3.6633 9.6715
Hg K Ag Cs
2 4 1 2
Direct
0.0331 0.6485 0.9686
0.9669 0.3515 0.0314
0.4542 0.7245 0.9129
0.5458 0.2755 0.0871
0.3034 0.1010 0.3111
0.6966 0.8990 0.6889
0.0000 0.0000 0.0000
0.0501 0.7005 0.3298
0.9499 0.2995 0.6702

***

PWAu2, optimized geometry, DFT PBE; E = -23.0 eV for the cell shown; V = 66.9 Å³ per cell; crystal system = orthorhombic; offset from the most stable computed form = 0.378 eV/atom; magnetic moment = 0.0 μB/f.u.; Fermi-level density of states = 1.0 states/eV/cell; DFT formation energy = 1.946 eV per formula unit
1.0
-0.6782 5.0587 -1.3965
-3.7582 -3.5735 -1.0521
-1.1772 0.5177 2.4469
P W Au
1 1 2
Direct
0.0000 0.0000 0.5000
0.5000 0.5000 0.5000
0.0000 0.5000 0.0000
0.5000 0.0000 0.0000

***

K4ZnFe, optimized geometry, DFT PBE; E = -9.0 eV for the cell shown; V = 311.3 Å³ per cell; crystal system = cubic; magnetic moment = 3.2 μB/f.u.; Fermi-level density of states = 6.7 states/eV/cell; DFT formation energy = 5.112 eV per formula unit
1.0
0.0000 5.3794 5.3794
5.3794 0.0000 5.3794
5.3794 5.3794 0.0000
K Fe Zn
4 1 1
Direct
0.3747 0.8760 0.3747
0.3747 0.3747 0.8760
0.8760 0.3747 0.3747
0.3747 0.3747 0.3747
0.0000 0.0000 0.0000
0.7500 0.7500 0.7500

***

CeErZnAg, optimized geometry, DFT PBE; E = -15.4 eV for the cell shown; V = 96.4 Å³ per cell; crystal system = cubic; offset from the most stable computed form = 0.030 eV/atom; magnetic moment = 0.9 μB/f.u.; Fermi-level density of states = 8.8 states/eV/cell; DFT formation energy = -0.789 eV per formula unit
1.0
-1.3870 4.9123 0.6572
-4.6852 1.1316 1.8039
-0.5369 1.9089 4.7491
Zn Er Ce Ag
1 1 1 1
Direct
0.7500 0.7500 0.7500
0.0000 0.0000 0.0000
0.5000 0.5000 0.5000
0.2500 0.2500 0.2500

***

K2RhAu, optimized geometry, DFT PBE; E = -11.2 eV for the cell shown; V = 97.8 Å³ per cell; crystal system = tetragonal; offset from the most stable computed form = 0.262 eV/atom; magnetic moment = 0.7 μB/f.u.; Fermi-level density of states = 3.4 states/eV/cell; DFT formation energy = 1.646 eV per formula unit
1.0
-0.5771 -2.0350 -2.2908
-0.3303 -2.2762 2.1052
-9.8325 2.0410 0.6640
Au K Rh
1 2 1
Direct
0.5000 0.5000 0.7500
0.0000 0.0000 0.4940
0.0000 0.0000 0.0060
0.5000 0.5000 0.2500

***

ScSeS, optimized geometry, DFT PBE; E = -72.7 eV for the cell shown; V = 259.5 Å³ per cell; crystal system = monoclinic; formation energy without anion corrections = -1410 meV/atom; offset from the most stable computed form = 0.069 eV/atom; magnetic moment = 0.0 μB/f.u.
1.0
7.1367 0.0000 -0.0002
0.0000 4.0894 0.0000
-0.7127 0.0000 8.8919
S Se Sc
4 4 4
Direct
0.7486 0.0000 0.6312
0.4497 0.5000 0.3776
0.4497 0.0000 0.8776
0.7486 0.5000 0.1312
0.8451 0.0000 0.3994
0.1472 0.5000 0.6408
0.1472 0.0000 0.1408
0.8451 0.5000 0.8994
0.5222 0.0000 0.1926
0.0885 0.5000 0.3314
0.5222 0.5000 0.6926
0.0885 0.0000 0.8314

***

La4TcS2Br, optimized geometry, DFT PBE; E = -50.5 eV for the cell shown; V = 219.3 Å³ per cell; crystal system = monoclinic; formation energy without anion corrections = -1313 meV/atom; magnetic moment = 0.0 μB/f.u.; Fermi-level density of states = 4.8 states/eV/cell
1.0
-2.7261 0.2959 -2.8989
5.0359 -2.2535 -4.9657
-0.6332 -7.6459 -0.1851
S La Tc Br
2 4 1 1
Direct
0.0000 0.0000 0.0000
0.5000 0.0000 0.5000
0.0000 0.2538 0.2939
0.0000 0.7462 0.7061
0.5000 0.2355 0.7447
0.5000 0.7645 0.2553
0.0000 0.5000 0.5000
0.5000 0.5000 0.0000

***

CdIn2Te, optimized geometry, DFT PBE; E = -19.8 eV for the cell shown; V = 232.1 Å³ per cell; crystal system = monoclinic; formation energy without anion corrections = -89 meV/atom; offset from the most stable computed form = 0.032 eV/atom; magnetic moment = 0.0 μB/f.u.; Fermi-level density of states = 3.1 states/eV/cell
1.0
-4.1159 4.1270 -2.2775
-1.4602 -3.9115 -4.4492
-2.3752 -4.3583 4.6111
Te In Cd
2 4 2
Direct
0.7848 0.5000 0.8887
0.2702 0.0000 0.8901
0.6632 0.5000 0.3926
0.3951 0.0000 0.3879
0.9010 0.0000 0.3955
0.7793 0.0000 0.8925
0.2703 0.5000 0.8590
0.1578 0.5000 0.3725

***

Rb3SbCl6, optimized geometry, DFT PBE; E = -67.5 eV for the cell shown; V = 720.9 Å³ per cell; crystal system = monoclinic; formation energy without anion corrections = -1562 meV/atom; offset from the most stable computed form = 0.000 eV/atom; magnetic moment = 0.0 μB/f.u.; Fermi-level density of states = 0.0 states/eV/cell
1.0
7.8156 0.0000 0.0487
0.0000 8.2507 0.0000
-0.0231 0.0000 11.1796
Cl Rb Sb
12 6 2
Direct
0.7244 0.1781 0.9455
0.6667 0.2310 0.5715
0.2244 0.3219 0.4455
0.8800 0.9490 0.2222
0.7756 0.6781 0.5545
0.3800 0.5510 0.7222
0.8333 0.7310 0.9285
0.1200 0.0510 0.7778
0.6200 0.4490 0.2778
0.3333 0.7690 0.4285
0.1667 0.2690 0.0715
0.2756 0.8219 0.0545
0.4747 0.0690 0.2467
0.5253 0.9310 0.7533
0.0000 0.0000 0.5000
0.9747 0.4310 0.7467
0.5000 0.5000 0.0000
0.0253 0.5690 0.2533
0.5000 0.5000 0.5000
0.0000 0.0000 0.0000

***

NdCdPd, optimized geometry, DFT PBE; E = -12.5 eV for the cell shown; V = 79.0 Å³ per cell; crystal system = cubic; magnetic moment = 0.0 μB/f.u.; Fermi-level density of states = 2.2 states/eV/cell; DFT formation energy = -1.585 eV per formula unit
1.0
-0.5910 3.1756 3.5733
-4.0403 2.6098 0.2591
-3.2081 -0.8674 3.4869
Nd Pd Cd
1 1 1
Direct
0.0000 0.0000 0.0000
0.2500 0.2500 0.2500
0.5000 0.5000 0.5000

***

Q: What is the formula in the eleventh record?
A: NdCdPd